Record 1
A relaxed La2DyZr crystal, computed with PBE-GGA.

Cell: 3.5306 3.5306 11.7240 Å, 81.34 81.34 60.00°
Element x y z (fractional)
La 0.0872 0.0872 0.7383
La 0.2452 0.2452 0.2643
Dy 0.6682 0.6682 0.9955
Zr 0.4994 0.4994 0.5018

Values from the calculation:
- Energy of formation: 0.142 eV/atom
- Total moment: 0.00 Bohr magnetons per cell

Record 2
A relaxed LaDyZr2 crystal, computed with PBE-GGA.

Cell: 3.3798 3.3798 11.2559 Å, 81.37 81.37 60.00°
Element x y z (fractional)
La 0.5003 0.5003 0.4991
Dy 0.6669 0.6669 0.9993
Zr 0.0807 0.0807 0.7579
Zr 0.2521 0.2521 0.2437

Values from the calculation:
- Energy of formation: 0.171 eV/atom
- Total moment: 0.00 Bohr magnetons per cell

Record 3
A relaxed La2DyZr crystal, computed with PBE-GGA.

Cell: 5.5952 5.5952 5.5952 Å, 60.00 60.00 60.00°
Element x y z (fractional)
La 0.2500 0.2500 0.2500
La 0.7500 0.7500 0.7500
Zr 0.0000 0.0000 0.0000
Dy 0.5000 0.5000 0.5000

Values from the calculation:
- Energy of formation: 0.190 eV/atom
- Total moment: 0.00 Bohr magnetons per cell

Record 4
A relaxed LaDyZr crystal, computed with PBE-GGA.

Cell: 3.4088 3.4088 8.0583 Å, 102.21 102.21 90.00°
Element x y z (fractional)
La 0.3242 0.3242 0.6484
Zr 0.6612 0.6612 0.3224
Dy 0.0146 0.0146 0.0292

Values from the calculation:
- Energy of formation: 0.107 eV/atom
- Total moment: 0.00 Bohr magnetons per cell